Entry A
VASP calculation (PBE with a Hubbard U) on a relaxed structure of MnTcIO2.

a = 3.8833 Å, b = 3.8833 Å, c = 6.2882 Å
α = 90.00°, β = 90.00°, γ = 90.00°
Site moments in Bohr magnetons follow the coordinates.
Fractional coordinates of all 5 atoms:
I1 0.0000 0.0000 0.5000  0.02
Mn1 0.5000 0.5000 0.5000  4.51
Tc1 0.0000 0.0000 0.0000  -0.05
O1 0.0000 0.5000 0.0000  0.01
O2 0.5000 0.0000 0.0000  0.01

Spin magnetization   4.8 Bohr magnetons per cell
Theoretical density   5.46 g cm⁻³



Entry B
VASP calculation (PBE with a Hubbard U) on a relaxed structure of MnTcIO2.

a = 3.8975 Å, b = 3.8975 Å, c = 6.0170 Å
α = 90.00°, β = 90.00°, γ = 90.00°
Site moments in Bohr magnetons follow the coordinates.
Fractional coordinates of all 5 atoms:
I1 0.0000 0.0000 0.5000  0.10
Mn1 0.0000 0.0000 0.0000  3.79
Tc1 0.5000 0.5000 0.5000  3.19
O1 0.0000 0.5000 0.0000  0.29
O2 0.5000 0.0000 0.0000  0.29

Spin magnetization   8.4 Bohr magnetons per cell
Theoretical density   5.67 g cm⁻³



Relative calculated energies, zero for the most stable structure, unit kJ/mol of atoms: entry A 0.0; entry B 53.9.



Entry A
VASP calculation (PBE with a Hubbard U) on a relaxed structure of MnTeIO2.

a = 4.0718 Å, b = 4.0718 Å, c = 6.9692 Å
α = 90.00°, β = 90.00°, γ = 90.00°
Site moments in Bohr magnetons follow the coordinates.
Fractional coordinates of all 5 atoms:
I1 0.0000 0.0000 0.5000  0.01
Te1 0.5000 0.5000 0.5000  0.00
O1 0.0000 0.5000 0.0000  -0.50
O2 0.5000 0.0000 0.0000  -0.50
Mn1 0.0000 0.0000 0.0000  4.16

Spin magnetization   3.2 Bohr magnetons per cell
Theoretical density   4.91 g cm⁻³



Entry B
VASP calculation (PBE with a Hubbard U) on a relaxed structure of MnTeIO2.

a = 4.1440 Å, b = 4.1440 Å, c = 7.3666 Å
α = 90.00°, β = 90.00°, γ = 90.00°
Site moments in Bohr magnetons follow the coordinates.
Fractional coordinates of all 5 atoms:
I1 0.0000 0.0000 0.5000  0.03
Te1 0.0000 0.0000 0.0000  -0.01
O1 0.0000 0.5000 0.0000  0.00
O2 0.5000 0.0000 0.0000  0.00
Mn1 0.5000 0.5000 0.5000  4.66

Spin magnetization   5.1 Bohr magnetons per cell
Theoretical density   4.48 g cm⁻³



Relative calculated energies, zero for the most stable structure, unit kJ/mol of atoms: entry A 9.6; entry B 0.0.



Entry A
VASP calculation (PBE with a Hubbard U) on a relaxed structure of TiMnI2O.

a = 5.7189 Å, b = 5.7189 Å, c = 3.7285 Å
α = 90.00°, β = 90.00°, γ = 90.00°
Site moments in Bohr magnetons follow the coordinates.
Fractional coordinates of all 5 atoms:
I1 0.0000 0.5000 0.0000  -0.05
I2 0.5000 0.0000 0.0000  -0.05
Mn1 0.0000 0.0000 0.0000  -4.21
O1 0.0000 0.0000 0.5000  -0.02
Ti1 0.5000 0.5000 0.5000  1.93

Spin magnetization   2.1 Bohr magnetons per cell
Theoretical density   5.07 g cm⁻³



Entry B
VASP calculation (PBE with a Hubbard U) on a relaxed structure of TiMnI2O.

a = 5.8134 Å, b = 5.8134 Å, c = 3.7765 Å
α = 90.00°, β = 90.00°, γ = 90.00°
Site moments in Bohr magnetons follow the coordinates.
Fractional coordinates of all 5 atoms:
I1 0.0000 0.5000 0.0000  0.04
I2 0.5000 0.0000 0.0000  0.04
Mn1 0.5000 0.5000 0.5000  4.86
O1 0.0000 0.0000 0.5000  -0.05
Ti1 0.0000 0.0000 0.0000  0.86

Spin magnetization   6.6 Bohr magnetons per cell
Theoretical density   4.85 g cm⁻³



Relative calculated energies, zero for the most stable structure, unit kJ/mol of atoms: entry A 53.4; entry B 0.0.